19
Lattice="-1.853 0.573 7.526 -1.992 -7.416 1.198 6.742 -2.472 2.972" Properties=species:S:1:pos:R:3 comment="HoErMg17 PBE relaxed" space_group="No. 160" e_form_kj_per_mol_fu=-4 pbc="T T T"
Er 0.950 -3.054 3.834
Mg 0.289 -0.930 1.167
Mg 3.887 -5.611 11.088
Mg 0.772 -0.359 6.132
Mg 2.610 -8.393 10.539
Mg 2.839 -2.422 6.977
Mg 4.308 -4.493 5.578
Mg -1.947 -4.974 3.130
Mg -1.893 -1.867 5.591
Mg 4.114 -1.543 4.362
Mg 2.771 -6.298 3.907
Mg 3.818 -9.592 7.935
Mg 0.675 -5.903 1.741
Mg 4.072 -3.980 2.431
Mg -0.465 -8.075 10.204
Mg 0.052 -6.903 4.713
Mg -1.399 -4.821 6.116
Ho 1.947 -6.262 7.862
Mg 0.120 -3.010 7.797